The following is a DFT calculation (PBE) of a relaxed LaZrGa4Ir2 crystal.

```
LaZrGa4Ir2
1.0
-1.855 -2.219 3.189
2.024 -5.898 -2.927
5.172 1.280 0.997
Ga Ir La Zr
4 2 1 1
direct
0.634 0.312 0.270
0.634 0.688 0.270
0.367 0.209 0.733
0.367 0.791 0.733
0.203 0.500 0.408
0.800 0.000 0.597
0.080 0.000 0.161
0.914 0.500 0.828
```

Summary:
- Volume: 148 Å³ per cell
- Calculated total energy: -6.061 eV/atom
- Symmetry: No. 6
- Total magnetization: 0.001 μB/atom
- Theoretical density: 10.054 g/cm³

The following is a DFT calculation (PBE) of a relaxed SmZr2 crystal.

```
SmZr2
1.0
0.000 4.338 4.338
4.338 0.000 4.338
4.338 4.338 0.000
Sm Zr
2 4
direct
0.000 0.000 0.000
0.250 0.250 0.250
0.625 0.625 0.125
0.625 0.125 0.625
0.125 0.625 0.625
0.625 0.625 0.625
```

Summary:
- Volume: 163 Å³ per cell
- Calculated total energy: -7.004 eV/atom
- Symmetry: No. 227
- Excess energy over the best structure of this formula in the dataset: 4.41 kcal/mol of atoms
- Total magnetization: 0.796 μB/atom
- Theoretical density: 6.771 g/cm³

The following is a DFT calculation (PBE) of a relaxed KTmTeO crystal.

```
KTmTeO
1.0
-2.327 2.228 3.390
-3.454 -7.272 2.407
5.152 -1.049 4.226
K O Te Tm
2 2 2 2
direct
0.000 0.282 0.125
0.000 0.718 0.625
0.500 0.085 0.213
0.500 0.915 0.713
0.000 0.700 0.131
0.000 0.300 0.631
0.500 0.894 0.022
0.500 0.106 0.522
```

Summary:
- Volume: 265 Å³ per cell
- Calculated total energy: -5.417 eV/atom
- Symmetry: No. 26
- Excess energy over the best structure of this formula in the dataset: 3.62 kcal/mol of atoms
- Total magnetization: 0.000 μB/atom
- Theoretical density: 4.405 g/cm³

The following is a DFT calculation (PBE) of a relaxed Hg2MoIr crystal.

```
Hg2MoIr
1.0
3.790 -1.185 2.426
2.073 3.128 2.752
-0.244 -0.446 4.626
Hg Ir Mo
2 1 1
direct
0.000 0.000 0.000
0.750 0.750 0.750
0.500 0.500 0.500
0.250 0.250 0.250
```

Summary:
- Volume: 71 Å³ per cell
- Calculated total energy: -4.416 eV/atom
- Symmetry: No. 216
- Total magnetization: 0.180 μB/atom
- Theoretical density: 16.064 g/cm³

The following is a DFT calculation (PBE) of a relaxed CsFeAuS3 crystal.

```
CsFeAuS3
1.0
3.592 0.000 0.000
1.796 7.833 0.000
0.000 0.000 10.647
Au Cs Fe S
2 2 2 6
direct
0.543 0.915 0.250
0.457 0.085 0.750
0.249 0.501 0.250
0.751 0.499 0.750
0.000 0.000 0.000
0.000 0.000 0.500
0.595 0.811 0.034
0.934 0.133 0.250
0.595 0.811 0.466
0.405 0.189 0.534
0.066 0.867 0.750
0.405 0.189 0.966
```

Summary:
- Volume: 300 Å³ per cell
- Calculated total energy: -4.380 eV/atom
- Symmetry: No. 63
- Total magnetization: 0.544 μB/atom
- Theoretical density: 5.343 g/cm³

The following is a DFT calculation (PBE) of a relaxed TmScPbC crystal.

```
TmScPbC
1.0
3.496 0.000 0.000
-1.748 3.028 0.000
0.000 0.000 15.495
C Pb Sc Tm
2 2 2 2
direct
0.000 0.000 0.258
0.000 0.000 0.742
0.333 0.667 0.000
0.667 0.333 0.500
0.333 0.667 0.335
0.333 0.667 0.665
0.667 0.333 0.174
0.667 0.333 0.826
```

Summary:
- Volume: 164 Å³ per cell
- Calculated total energy: -6.493 eV/atom
- Symmetry: No. 187
- Excess energy over the best structure of this formula in the dataset: 0.01 kcal/mol of atoms
- Total magnetization: 0.004 μB/atom
- Theoretical density: 8.770 g/cm³

> Which value of total magnetization does entry 5 give?

0.544 μB/atom

> Look up the theoretical density of the sixth one.

8.770 g/cm³

> Which value of theoretical density does entry 1 give?

10.054 g/cm³